No. 1
The following is a PBE calculation of a geometry-optimized GaMoOs structure, from Alexandria via LeMat-Bulk.

* raw total energy: -25.12 eV per cell
* theoretical density: 13.1 g/cm3
* N(E_F): 0.36 states/eV per atom
* E_form: -0.012 eV/atom

abc: 4.2863 4.2863 2.8324
angles: 90.00 90.00 120.00
Space group P-6m2 (No. 187)
Inequivalent atoms, fractional coordinates:
Ga  0.0000  0.0000  0.0000 [1 per cell]
Mo  0.3333  0.6667  0.5000 [1 per cell]
Os  0.6667  0.3333  0.0000 [1 per cell]


No. 2
The following is a PBE calculation of a geometry-optimized GaMoOs structure, from Alexandria via LeMat-Bulk.

* raw total energy: -50.69 eV per cell
* theoretical density: 13.4 g/cm3
* N(E_F): 0.49 states/eV per atom
* E_form: -0.086 eV/atom

abc: 2.970 2.970 10.033
angles: 90.00 90.00 90.00
Space group I4mm (No. 107)
Inequivalent atoms, fractional coordinates:
Ga  0.000  0.000  0.000 [2 per cell]
Mo  0.000  0.000  0.674 [2 per cell]
Os  0.000  0.000  0.341 [2 per cell]


No. 3
The following is a PBE calculation of a geometry-optimized Ga2MoOs2 structure, from Alexandria via LeMat-Bulk.

* raw total energy: -76.20 eV per cell
* theoretical density: 13.8 g/cm3
* N(E_F): 1.46 states/eV per atom
* E_form: 0.249 eV/atom

abc: 7.124 7.124 2.926
angles: 90.00 90.00 90.00
Space group P4/mbm (No. 127)
Inequivalent atoms, fractional coordinates:
Ga  0.134  0.366  0.000 [4 per cell]
Mo  0.000  0.000  0.000 [2 per cell]
Os  0.165  0.665  0.500 [4 per cell]


No. 4
The following is a PBE calculation of a geometry-optimized GaMoOsPt2 structure, from Alexandria via LeMat-Bulk.

* raw total energy: -30.90 eV per cell
* theoretical density: 13.2 g/cm3
* N(E_F): 1.07 states/eV per atom
* E_form: 1.253 eV/atom

abc: 4.543 4.543 4.541
angles: 90.00 90.00 90.00
Space group P4/mmm (No. 123)
Inequivalent atoms, fractional coordinates:
Ga  0.000  0.000  0.000 [1 per cell]
Mo  0.500  0.500  0.500 [1 per cell]
Os  0.000  0.000  0.500 [1 per cell]
Pt  0.000  0.500  0.000 [2 per cell]


No. 5
The following is a PBE calculation of a geometry-optimized RbGaMo2Os structure, from Alexandria via LeMat-Bulk.

* raw total energy: -24.13 eV per cell
* theoretical density: 7.4 g/cm3
* N(E_F): 2.13 states/eV per atom
* E_form: 2.550 eV/atom

abc: 4.793 4.793 5.230
angles: 90.00 90.00 90.00
Space group P4/mmm (No. 123)
Inequivalent atoms, fractional coordinates:
Rb  0.000  0.000  0.000 [1 per cell]
Ga  0.000  0.000  0.500 [1 per cell]
Mo  0.000  0.500  0.500 [2 per cell]
Os  0.500  0.500  0.000 [1 per cell]


No. 6
The following is a PBE calculation of a geometry-optimized GaMoOs2S structure, from Alexandria via LeMat-Bulk.

* raw total energy: -30.86 eV per cell
* theoretical density: 8.8 g/cm3
* N(E_F): 0.85 states/eV per atom
* energy relative to the elements, uncorrected: 1.92 eV/atom

abc: 4.717 4.717 4.901
angles: 90.00 90.00 90.00
Space group P4/mmm (No. 123)
Inequivalent atoms, fractional coordinates:
Ga  0.000  0.000  0.000 [1 per cell]
Mo  0.000  0.000  0.500 [1 per cell]
Os  0.000  0.500  0.500 [2 per cell]
S  0.500  0.500  0.000 [1 per cell]


No. 7
The following is a PBE calculation of a geometry-optimized TaGaMoOs structure, from Alexandria via LeMat-Bulk.

* raw total energy: -149.59 eV per cell
* theoretical density: 14.2 g/cm3
* N(E_F): 0.96 states/eV per atom
* E_form: -0.114 eV/atom

abc: 6.307 6.307 6.307
angles: 90.00 90.00 90.00
Space group F-43m (No. 216)
Inequivalent atoms, fractional coordinates:
Ta  0.000  0.000  0.000 [4 per cell]
Ga  0.000  0.000  0.500 [4 per cell]
Mo  0.250  0.250  0.750 [4 per cell]
Os  0.250  0.250  0.250 [4 per cell]


No. 8
The following is a PBE calculation of a geometry-optimized GaTcMoOs structure, from Alexandria via LeMat-Bulk.

* raw total energy: -142.36 eV per cell
* theoretical density: 12.7 g/cm3
* N(E_F): 0.68 states/eV per atom
* E_form: -0.034 eV/atom

abc: 6.185 6.185 6.185
angles: 90.00 90.00 90.00
Space group F-43m (No. 216)
Inequivalent atoms, fractional coordinates:
Ga  0.000  0.000  0.000 [4 per cell]
Tc  0.250  0.250  0.750 [4 per cell]
Mo  0.000  0.000  0.500 [4 per cell]
Os  0.250  0.250  0.250 [4 per cell]


No. 9
The following is a PBE calculation of a geometry-optimized GaTeMoOs2 structure, from Alexandria via LeMat-Bulk.

* raw total energy: -27.87 eV per cell
* theoretical density: 9.5 g/cm3
* N(E_F): 0.81 states/eV per atom
* energy relative to the elements, uncorrected: 2.32 eV/atom

abc: 4.817 4.817 5.054
angles: 90.00 90.00 90.00
Space group P4/mmm (No. 123)
Inequivalent atoms, fractional coordinates:
Ga  0.000  0.000  0.000 [1 per cell]
Te  0.000  0.000  0.500 [1 per cell]
Mo  0.500  0.500  0.000 [1 per cell]
Os  0.000  0.500  0.500 [2 per cell]


No. 10
The following is a PBE calculation of a geometry-optimized VGaMoOs structure, from Alexandria via LeMat-Bulk.

* raw total energy: -138.56 eV per cell
* theoretical density: 11.8 g/cm3
* N(E_F): 0.87 states/eV per atom
* E_form: -0.108 eV/atom

abc: 6.127 6.127 6.127
angles: 90.00 90.00 90.00
Space group F-43m (No. 216)
Inequivalent atoms, fractional coordinates:
V  0.000  0.000  0.000 [4 per cell]
Ga  0.000  0.000  0.500 [4 per cell]
Mo  0.250  0.250  0.250 [4 per cell]
Os  0.250  0.250  0.750 [4 per cell]


No. 11
The following is a PBE calculation of a geometry-optimized Zn2GaMoOs structure, from Alexandria via LeMat-Bulk.

* raw total energy: -21.14 eV per cell
* theoretical density: 6.9 g/cm3
* N(E_F): 1.17 states/eV per atom
* E_form: 1.300 eV/atom

abc: 5.014 5.014 4.648
angles: 90.00 90.00 90.00
Space group P4/mmm (No. 123)
Inequivalent atoms, fractional coordinates:
Zn  0.000  0.500  0.000 [2 per cell]
Ga  0.000  0.000  0.500 [1 per cell]
Mo  0.500  0.500  0.000 [1 per cell]
Os  0.500  0.500  0.500 [1 per cell]


No. 12
The following is a PBE calculation of a geometry-optimized GaMo3P structure, from Alexandria via LeMat-Bulk.

* raw total energy: -38.45 eV per cell
* theoretical density: 7.3 g/cm3
* polymorph energy (0 for the lowest one): 0.000 eV per atom
* N(E_F): 0.77 states/eV per atom
* E_form: 0.496 eV/atom

abc: 4.448 4.448 4.448
angles: 90.00 90.00 90.00
Space group Pm-3m (No. 221)
Inequivalent atoms, fractional coordinates:
Ga  0.000  0.000  0.000 [1 per cell]
Mo  0.000  0.500  0.500 [3 per cell]
P  0.500  0.500  0.500 [1 per cell]